## YCoRu2 (GGA-PBE)

Data for an optimized crystal structure of YCoRu2.

a b c (Å): 3.1711 3.1711 6.5192
angles (deg): 90.00 90.00 90.00
Positions (direct):
Y 0.0000 0.0000 0.0000
Co 0.0000 0.0000 0.5000
Ru 0.5000 0.5000 0.3017
Ru 0.5000 0.5000 0.6983

Properties
- final energy (eV/atom) = -7.842
- size of the total moment (μB/f.u.) = 2.61
- ΔE_f (eV/atom) = 0.19
- space-group type = No. 123
- crystal system = tetragonal
- energy relative to the lowest polymorph listed for this composition (meV/atom) = 45



## YCoRu2 (GGA-PBE)

Data for an optimized crystal structure of YCoRu2.

a b c (Å): 8.2449 8.2449 8.2449
angles (deg): 21.77 21.77 21.77
Positions (direct):
Y 0.0000 0.0000 0.0000
Co 0.5000 0.5000 0.5000
Ru 0.2387 0.2387 0.2387
Ru 0.7613 0.7613 0.7613

Properties
- final energy (eV/atom) = -7.508
- size of the total moment (μB/f.u.) = 3.17
- ΔE_f (eV/atom) = 0.52
- space-group type = No. 166
- crystal system = trigonal
- energy relative to the lowest polymorph listed for this composition (meV/atom) = 379



## YCo2Ru (GGA-PBE)

Data for an optimized crystal structure of YCo2Ru.

a b c (Å): 2.9632 4.0635 5.5492
angles (deg): 90.00 104.66 90.00
Positions (direct):
Y 0.0000 0.0000 0.0000
Co 0.4047 0.5000 0.6928
Co 0.5953 0.5000 0.3072
Ru 0.0000 0.0000 0.5000

Properties
- final energy (eV/atom) = -7.255
- size of the total moment (μB/f.u.) = 3.73
- ΔE_f (eV/atom) = 0.23
- space-group type = No. 10
- crystal system = monoclinic
- energy relative to the lowest polymorph listed for this composition (meV/atom) = 284



## YCoRu2 (GGA-PBE)

Data for an optimized crystal structure of YCoRu2.

a b c (Å): 2.8930 3.6978 6.1062
angles (deg): 90.00 90.00 90.00
Positions (direct):
Y 0.0000 0.0000 0.0000
Co 0.5000 0.5000 0.2869
Ru 0.0000 0.0000 0.4906
Ru 0.5000 0.5000 0.6886

Properties
- final energy (eV/atom) = -7.861
- size of the total moment (μB/f.u.) = 1.20
- ΔE_f (eV/atom) = 0.17
- space-group type = No. 25
- crystal system = orthorhombic
- energy relative to the lowest polymorph listed for this composition (meV/atom) = 26



## YCo2Ru (GGA-PBE)

Data for an optimized crystal structure of YCo2Ru.

a b c (Å): 4.4493 4.4493 4.4493
angles (deg): 60.00 60.00 60.00
Positions (direct):
Y 0.0000 0.0000 0.0000
Co 0.2500 0.2500 0.2500
Co 0.5000 0.5000 0.5000
Ru 0.7500 0.7500 0.7500

Properties
- final energy (eV/atom) = -7.264
- size of the total moment (μB/f.u.) = 3.95
- ΔE_f (eV/atom) = 0.22
- space-group type = No. 216
- crystal system = cubic
- energy relative to the lowest polymorph listed for this composition (meV/atom) = 275



## YCo2Ru (GGA-PBE)

Data for an optimized crystal structure of YCo2Ru.

a b c (Å): 5.2826 5.2826 5.2826
angles (deg): 46.16 46.16 46.16
Positions (direct):
Y 0.0000 0.0000 0.0000
Co 0.1927 0.1927 0.1927
Co 0.8073 0.8073 0.8073
Ru 0.5000 0.5000 0.5000

Properties
- final energy (eV/atom) = -7.539
- size of the total moment (μB/f.u.) = 2.70
- ΔE_f (eV/atom) = -0.05
- space-group type = No. 166
- crystal system = trigonal
- energy relative to the lowest polymorph listed for this composition (meV/atom) = 0



## YCoRu2 (GGA-PBE)

Data for an optimized crystal structure of YCoRu2.

a b c (Å): 4.9428 4.9428 4.8293
angles (deg): 106.65 106.65 35.43
Positions (direct):
Y 0.0000 0.0000 0.0000
Co 0.5000 0.5000 0.5000
Ru 0.2233 0.2233 0.6968
Ru 0.7767 0.7767 0.3032

Properties
- final energy (eV/atom) = -7.864
- size of the total moment (μB/f.u.) = 2.03
- ΔE_f (eV/atom) = 0.17
- space-group type = No. 12
- crystal system = monoclinic
- energy relative to the lowest polymorph listed for this composition (meV/atom) = 23



## YCoRu2 (GGA-PBE)

Data for an optimized crystal structure of YCoRu2.

a b c (Å): 4.5054 4.5054 4.5054
angles (deg): 60.00 60.00 60.00
Positions (direct):
Y 0.0000 0.0000 0.0000
Co 0.5000 0.5000 0.5000
Ru 0.2500 0.2500 0.2500
Ru 0.7500 0.7500 0.7500

Properties
- final energy (eV/atom) = -7.800
- size of the total moment (μB/f.u.) = 3.84
- ΔE_f (eV/atom) = 0.23
- space-group type = No. 225
- crystal system = cubic
- energy relative to the lowest polymorph listed for this composition (meV/atom) = 87



## YCo2Ru (GGA-PBE)

Data for an optimized crystal structure of YCo2Ru.

a b c (Å): 5.3646 5.3646 5.3646
angles (deg): 45.34 45.34 45.34
Positions (direct):
Y 0.0000 0.0000 0.0000
Co 0.5018 0.5018 0.5018
Co 0.8099 0.8099 0.8099
Ru 0.1921 0.1921 0.1921

Properties
- final energy (eV/atom) = -7.495
- size of the total moment (μB/f.u.) = 2.63
- ΔE_f (eV/atom) = -0.01
- space-group type = No. 160
- crystal system = trigonal
- energy relative to the lowest polymorph listed for this composition (meV/atom) = 44



## YCoRu2 (GGA-PBE)

Data for an optimized crystal structure of YCoRu2.

a b c (Å): 4.3964 4.3964 3.3391
angles (deg): 90.00 90.00 90.00
Positions (direct):
Y 0.0000 0.0000 0.0000
Co 0.5000 0.5000 0.0000
Ru 0.0000 0.5000 0.5000
Ru 0.5000 0.0000 0.5000

Properties
- final energy (eV/atom) = -7.787
- size of the total moment (μB/f.u.) = 2.40
- ΔE_f (eV/atom) = 0.24
- space-group type = No. 123
- crystal system = tetragonal
- energy relative to the lowest polymorph listed for this composition (meV/atom) = 100



## YCo2Ru (GGA-PBE)

Data for an optimized crystal structure of YCo2Ru.

a b c (Å): 8.7125 8.7125 8.7125
angles (deg): 19.40 19.40 19.40
Positions (direct):
Y 0.0000 0.0000 0.0000
Co 0.2398 0.2398 0.2398
Co 0.7602 0.7602 0.7602
Ru 0.5000 0.5000 0.5000

Properties
- final energy (eV/atom) = -6.869
- size of the total moment (μB/f.u.) = 3.97
- ΔE_f (eV/atom) = 0.62
- space-group type = No. 166
- crystal system = trigonal
- energy relative to the lowest polymorph listed for this composition (meV/atom) = 670



## YCo3Ru (GGA-PBE)

Data for an optimized crystal structure of YCo3Ru.

a b c (Å): 4.5131 4.5131 4.5131
angles (deg): 90.00 90.00 90.00
Positions (direct):
Y 0.0000 0.0000 0.0000
Co 0.0000 0.5000 0.5000
Co 0.5000 0.0000 0.5000
Co 0.5000 0.5000 0.0000
Ru 0.5000 0.5000 0.5000

Properties
- final energy (eV/atom) = -6.731
- size of the total moment (μB/f.u.) = 4.79
- ΔE_f (eV/atom) = 0.68
- space-group type = No. 221
- crystal system = cubic
- energy relative to the lowest polymorph listed for this composition (meV/atom) = 0



## YCoRu3 (GGA-PBE)

Data for an optimized crystal structure of YCoRu3.

a b c (Å): 4.4994 4.4994 4.4994
angles (deg): 90.00 90.00 90.00
Positions (direct):
Y 0.0000 0.0000 0.0000
Co 0.5000 0.5000 0.5000
Ru 0.0000 0.5000 0.5000
Ru 0.5000 0.0000 0.5000
Ru 0.5000 0.5000 0.0000

Properties
- final energy (eV/atom) = -7.621
- size of the total moment (μB/f.u.) = 3.57
- ΔE_f (eV/atom) = 0.66
- space-group type = No. 221
- crystal system = cubic



## YCo2Ru (GGA-PBE)

Data for an optimized crystal structure of YCo2Ru.

a b c (Å): 8.7245 8.7245 8.7245
angles (deg): 151.42 151.42 40.86
Positions (direct):
Y 0.0000 0.0000 0.0000
Y 0.7500 0.2500 0.5000
Co 0.2959 0.6250 0.1709
Co 0.3750 0.5459 0.6709
Co 0.4541 0.1250 0.8291
Co 0.8750 0.7041 0.3291
Ru 0.2500 0.7500 0.5000
Ru 0.5000 0.5000 0.0000

Properties
- final energy (eV/atom) = -7.059
- size of the total moment (μB/f.u.) = 1.96
- ΔE_f (eV/atom) = 0.43
- space-group type = No. 122
- crystal system = tetragonal
- energy relative to the lowest polymorph listed for this composition (meV/atom) = 480



## YCo2Ru (GGA-PBE)

Data for an optimized crystal structure of YCo2Ru.

a b c (Å): 4.3352 4.3352 3.2826
angles (deg): 90.00 90.00 90.00
Positions (direct):
Y 0.0000 0.0000 0.0000
Co 0.0000 0.5000 0.5000
Co 0.5000 0.0000 0.5000
Ru 0.5000 0.5000 0.0000

Properties
- final energy (eV/atom) = -7.332
- size of the total moment (μB/f.u.) = 3.73
- ΔE_f (eV/atom) = 0.16
- space-group type = No. 123
- crystal system = tetragonal
- energy relative to the lowest polymorph listed for this composition (meV/atom) = 207



## Zn2CoRu (GGA-PBE)

Data for an optimized crystal structure of Zn2CoRu.

a b c (Å): 4.8915 4.8915 4.8915
angles (deg): 143.74 129.39 63.84
Positions (direct):
Zn 0.2412 0.2412 0.0000
Zn 0.7588 0.7588 0.0000
Co 0.0000 0.5000 0.5000
Ru 0.5000 0.0000 0.5000

Properties
- final energy (eV/atom) = -4.668
- size of the total moment (μB/f.u.) = 2.14
- ΔE_f (eV/atom) = 0.06
- space-group type = No. 71
- crystal system = orthorhombic
- energy relative to the lowest polymorph listed for this composition (meV/atom) = 47



## Zn2CoRu (GGA-PBE)

Data for an optimized crystal structure of Zn2CoRu.

a b c (Å): 2.5993 4.2267 4.8473
angles (deg): 90.00 96.94 90.00
Positions (direct):
Zn 0.2073 0.0000 0.2560
Zn 0.7927 0.0000 0.7440
Co 0.0000 0.5000 0.5000
Ru 0.5000 0.5000 0.0000

Properties
- final energy (eV/atom) = -4.627
- size of the total moment (μB/f.u.) = 1.33
- ΔE_f (eV/atom) = 0.11
- space-group type = No. 10
- crystal system = monoclinic
- energy relative to the lowest polymorph listed for this composition (meV/atom) = 88



## Zn2CoRu (GGA-PBE)

Data for an optimized crystal structure of Zn2CoRu.

a b c (Å): 2.7467 3.6536 5.3057
angles (deg): 90.00 90.00 90.00
Positions (direct):
Zn 0.0000 0.0000 0.2419
Zn 0.0000 0.0000 0.7581
Co 0.5000 0.5000 0.0000
Ru 0.5000 0.5000 0.5000

Properties
- final energy (eV/atom) = -4.629
- size of the total moment (μB/f.u.) = 2.56
- ΔE_f (eV/atom) = 0.10
- space-group type = No. 47
- crystal system = orthorhombic
- energy relative to the lowest polymorph listed for this composition (meV/atom) = 86



## Zn2CoRu (GGA-PBE)

Data for an optimized crystal structure of Zn2CoRu.

a b c (Å): 4.6035 4.6035 4.4952
angles (deg): 102.08 102.08 34.75
Positions (direct):
Zn 0.0000 0.0000 0.0000
Zn 0.2418 0.2418 0.7534
Co 0.4939 0.4939 0.4908
Ru 0.7570 0.7570 0.2671

Properties
- final energy (eV/atom) = -4.668
- size of the total moment (μB/f.u.) = 1.70
- ΔE_f (eV/atom) = 0.06
- space-group type = No. 8
- crystal system = monoclinic
- energy relative to the lowest polymorph listed for this composition (meV/atom) = 47



## Zn2CoRu2 (GGA-PBE)

Data for an optimized crystal structure of Zn2CoRu2.

a b c (Å): 6.2319 6.2319 3.8582
angles (deg): 90.00 90.00 90.00
Positions (direct):
Zn 0.1670 0.3330 0.0000
Zn 0.3330 0.8330 0.0000
Zn 0.6670 0.1670 0.0000
Zn 0.8330 0.6670 0.0000
Co 0.0000 0.0000 0.5000
Co 0.5000 0.5000 0.5000
Ru 0.1375 0.6375 0.5000
Ru 0.3625 0.1375 0.5000
Ru 0.6375 0.8625 0.5000
Ru 0.8625 0.3625 0.5000

Properties
- final energy (eV/atom) = -5.299
- size of the total moment (μB/f.u.) = 2.91
- ΔE_f (eV/atom) = 0.34
- space-group type = No. 127
- crystal system = tetragonal



## Zn2Co2Ru (GGA-PBE)

Data for an optimized crystal structure of Zn2Co2Ru.

a b c (Å): 6.8433 6.8433 2.6940
angles (deg): 90.00 90.00 90.00
Positions (direct):
Zn 0.1278 0.3722 0.0000
Zn 0.3722 0.8722 0.0000
Zn 0.6278 0.1278 0.0000
Zn 0.8722 0.6278 0.0000
Co 0.1723 0.6723 0.5000
Co 0.3277 0.1723 0.5000
Co 0.6723 0.8277 0.5000
Co 0.8277 0.3277 0.5000
Ru 0.0000 0.0000 0.0000
Ru 0.5000 0.5000 0.0000

Properties
- final energy (eV/atom) = -4.964
- size of the total moment (μB/f.u.) = 1.92
- ΔE_f (eV/atom) = 0.24
- space-group type = No. 127
- crystal system = tetragonal
- energy relative to the lowest polymorph listed for this composition (meV/atom) = 0



## Zn2CoRu (GGA-PBE)

Data for an optimized crystal structure of Zn2CoRu.

a b c (Å): 2.6441 2.6441 8.6744
angles (deg): 90.00 90.00 115.92
Positions (direct):
Zn 0.0000 0.0000 0.0000
Zn 0.5000 0.5000 0.2660
Co 0.0000 0.0000 0.5060
Ru 0.5000 0.5000 0.7431

Properties
- final energy (eV/atom) = -4.568
- size of the total moment (μB/f.u.) = 2.21
- ΔE_f (eV/atom) = 0.16
- space-group type = No. 35
- crystal system = orthorhombic
- energy relative to the lowest polymorph listed for this composition (meV/atom) = 147



## Zn4CoRu (GGA-PBE)

Data for an optimized crystal structure of Zn4CoRu.

a b c (Å): 4.8650 4.8650 4.8650
angles (deg): 60.00 60.00 60.00
Positions (direct):
Zn 0.1251 0.1251 0.1251
Zn 0.1251 0.1251 0.6248
Zn 0.1251 0.6248 0.1251
Zn 0.6248 0.1251 0.1251
Co 0.7500 0.7500 0.7500
Ru 0.5000 0.5000 0.5000

Properties
- final energy (eV/atom) = -3.409
- size of the total moment (μB/f.u.) = 2.24
- ΔE_f (eV/atom) = 0.17
- space-group type = No. 216
- crystal system = cubic



## ZnCoRu4 (GGA-PBE)

Data for an optimized crystal structure of ZnCoRu4.

a b c (Å): 5.0528 5.0528 5.0528
angles (deg): 60.00 60.00 60.00
Positions (direct):
Zn 0.0000 0.0000 0.0000
Co 0.2500 0.2500 0.2500
Ru 0.1249 0.6250 0.6250
Ru 0.6250 0.1249 0.6250
Ru 0.6250 0.6250 0.1249
Ru 0.6250 0.6250 0.6250

Properties
- final energy (eV/atom) = -6.941
- size of the total moment (μB/f.u.) = 4.71
- ΔE_f (eV/atom) = 0.64
- space-group type = No. 216
- crystal system = cubic



## Zn2CoRu (GGA-PBE)

Data for an optimized crystal structure of Zn2CoRu.

a b c (Å): 3.7264 3.7264 3.8161
angles (deg): 90.00 90.00 90.00
Positions (direct):
Zn 0.0000 0.5000 0.0000
Zn 0.5000 0.0000 0.0000
Co 0.0000 0.0000 0.5000
Ru 0.5000 0.5000 0.5000

Properties
- final energy (eV/atom) = -4.685
- size of the total moment (μB/f.u.) = 2.35
- ΔE_f (eV/atom) = 0.05
- space-group type = No. 123
- crystal system = tetragonal
- energy relative to the lowest polymorph listed for this composition (meV/atom) = 30



## Zn2CoRu (GGA-PBE)

Data for an optimized crystal structure of Zn2CoRu.

a b c (Å): 8.6012 8.6012 8.6012
angles (deg): 18.02 18.02 18.02
Positions (direct):
Zn 0.2471 0.2471 0.2471
Zn 0.7529 0.7529 0.7529
Co 0.5000 0.5000 0.5000
Ru 0.0000 0.0000 0.0000

Properties
- final energy (eV/atom) = -4.669
- size of the total moment (μB/f.u.) = 1.58
- ΔE_f (eV/atom) = 0.06
- space-group type = No. 166
- crystal system = trigonal
- energy relative to the lowest polymorph listed for this composition (meV/atom) = 46



## Zn2Co2Ru (GGA-PBE)

Data for an optimized crystal structure of Zn2Co2Ru.

a b c (Å): 6.8906 6.8906 2.7382
angles (deg): 90.00 90.00 90.00
Positions (direct):
Zn 0.1791 0.3209 0.0000
Zn 0.3209 0.8209 0.0000
Zn 0.6791 0.1791 0.0000
Zn 0.8209 0.6791 0.0000
Co 0.1169 0.6169 0.5000
Co 0.3831 0.1169 0.5000
Co 0.6169 0.8831 0.5000
Co 0.8831 0.3831 0.5000
Ru 0.0000 0.0000 0.5000
Ru 0.5000 0.5000 0.5000

Properties
- final energy (eV/atom) = -4.945
- size of the total moment (μB/f.u.) = 3.93
- ΔE_f (eV/atom) = 0.26
- space-group type = No. 127
- crystal system = tetragonal
- energy relative to the lowest polymorph listed for this composition (meV/atom) = 19



## Zn2CoRu (GGA-PBE)

Data for an optimized crystal structure of Zn2CoRu.

a b c (Å): 4.2014 4.2014 4.2014
angles (deg): 60.00 60.00 60.00
Positions (direct):
Zn 0.2500 0.2500 0.2500
Zn 0.7500 0.7500 0.7500
Co 0.0000 0.0000 0.0000
Ru 0.5000 0.5000 0.5000

Properties
- final energy (eV/atom) = -4.646
- size of the total moment (μB/f.u.) = 1.97
- ΔE_f (eV/atom) = 0.09
- space-group type = No. 225
- crystal system = cubic
- energy relative to the lowest polymorph listed for this composition (meV/atom) = 69



## Zn2CoRu (GGA-PBE)

Data for an optimized crystal structure of Zn2CoRu.

a b c (Å): 4.6556 4.6556 4.6556
angles (deg): 132.95 132.95 68.73
Positions (direct):
Zn 0.2500 0.7500 0.5000
Zn 0.7500 0.2500 0.5000
Co 0.0000 0.0000 0.0000
Ru 0.5000 0.5000 0.0000

Properties
- final energy (eV/atom) = -4.654
- size of the total moment (μB/f.u.) = 2.37
- ΔE_f (eV/atom) = 0.08
- space-group type = No. 139
- crystal system = tetragonal
- energy relative to the lowest polymorph listed for this composition (meV/atom) = 61